Record 1
This record from the Alexandria database describes an optimized crystal structure of MnB2Mo2. The functional is GGA-PBEsol.

Cell and atoms, written as POSCAR:
```
MnB2Mo2
1.0
5.7395 0.0000 0.0000
0.0000 5.7395 0.0000
0.0000 0.0000 3.1334
Mn B Mo
2 4 4
direct
0.0000 0.0000 0.0000
0.5000 0.5000 0.0000
0.1140 0.3860 0.0000
0.3860 0.8860 0.0000
0.6140 0.1140 0.0000
0.8860 0.6140 0.0000
0.1778 0.6778 0.5000
0.3222 0.1778 0.5000
0.6778 0.8222 0.5000
0.8222 0.3222 0.5000
```

- energy relative to the elements (meV per atom) = -506
- final energy (eV per cell) = -99.717

=====

Record 2
This record from the Alexandria database describes an optimized crystal structure of MnNiSb2I. The functional is GGA-PBEsol.

Cell and atoms, written as POSCAR:
```
MnNiSb2I
1.0
4.8606 0.0000 0.0000
0.0000 4.8606 0.0000
0.0000 0.0000 5.3287
Mn Ni Sb I
1 1 2 1
direct
0.0000 0.0000 0.0000
0.5000 0.5000 0.5000
0.0000 0.5000 0.5000
0.5000 0.0000 0.5000
0.5000 0.5000 0.0000
```

- E_form (uncorrected) (eV/atom) = 0.67
- final energy (eV per cell) = -23.470